(1)
PBE GaH2Pd4, optimized geometry; total magnetization = 0.00 μB per cell; polymorph energy (0 for the lowest one) = 0.24 eV per formula unit; crystal system = triclinic; density = 9.72 Mg/m³; DOS at the Fermi energy = 0.350 states/eV/atom
1.0
5.502 0.000 0.000
2.750 4.904 0.000
2.670 0.002 6.300
Ga H Pd
2 4 8
Direct
0.000 0.000 0.000
0.248 0.503 0.500
0.094 0.283 0.177
0.516 0.785 0.321
0.551 0.716 0.821
0.627 0.218 0.677
0.240 0.377 0.872
0.355 0.866 0.626
0.440 0.133 0.225
0.470 0.635 0.125
0.787 0.872 0.779
0.823 0.369 0.724
0.866 0.123 0.373
0.908 0.630 0.278

***

(2)
PBE Dy2Al3Pt, optimized geometry; energy = -5.21 eV/atom; total magnetization = 0.00 μB per cell; crystal system = trigonal; density = 8.56 Mg/m³; DOS at the Fermi energy = 0.515 states/eV/atom
1.0
2.765 1.597 4.399
-2.765 1.597 4.399
0.000 -3.193 4.399
Dy Al Pt
2 3 1
Direct
0.125 0.125 0.125
0.875 0.875 0.875
0.000 0.500 0.500
0.500 0.000 0.500
0.500 0.500 0.000
0.500 0.500 0.500

***

(3)
PBE LaCrSe3, optimized geometry; energy = -5.99 eV/atom; total magnetization = 3.07 μB per cell; crystal system = cubic; density = 6.02 Mg/m³; DOS at the Fermi energy = 0.379 states/eV/atom
1.0
4.904 0.000 0.000
0.000 4.904 0.000
0.000 0.000 4.904
La Cr Se
1 1 3
Direct
0.000 0.000 0.000
0.500 0.500 0.500
0.000 0.500 0.500
0.500 0.000 0.500
0.500 0.500 0.000

***

(4)
PBE Ho4ErTm7, optimized geometry; total magnetization = 0.40 μB per cell; polymorph energy (0 for the lowest one) = 2.55 eV per formula unit; crystal system = monoclinic; density = 8.83 Mg/m³; DOS at the Fermi energy = 1.678 states/eV/atom
1.0
5.960 -2.881 0.000
5.960 2.881 0.000
-5.958 0.000 11.010
Ho Er Tm
4 1 7
Direct
0.138 0.138 0.275
0.260 0.260 0.821
0.740 0.740 0.179
0.862 0.862 0.725
0.500 0.500 0.500
0.000 0.000 0.500
0.134 0.134 0.999
0.288 0.288 0.575
0.437 0.437 0.181
0.563 0.563 0.819
0.712 0.712 0.425
0.866 0.866 0.001